[1]
# Dy6ScCd, relaxed, DFT PBE
# - Total moment: 0.0 μB per formula unit
# - ΔH_f (0 K): 0.06 eV/atom
data_Dy6ScCd
_cell_length_a 6.216
_cell_length_b 6.216
_cell_length_c 6.216
_cell_angle_alpha 93.67
_cell_angle_beta 93.67
_cell_angle_gamma 93.67
_space_group_name_H-M_alt 'P 1'
_space_group_IT_number 1
loop_
_space_group_symop_operation_xyz
'x,y,z'
loop_
_atom_site_label
_atom_site_type_symbol
_atom_site_fract_x
_atom_site_fract_y
_atom_site_fract_z
_atom_site_occupancy
Dy1 Dy 0.037 0.546 0.755 1
Dy2 Dy 0.245 0.963 0.454 1
Dy3 Dy 0.454 0.245 0.963 1
Dy4 Dy 0.546 0.755 0.037 1
Dy5 Dy 0.755 0.037 0.546 1
Dy6 Dy 0.963 0.454 0.245 1
Sc1 Sc 0.500 0.500 0.500 1
Cd1 Cd 0.000 0.000 0.000 1

[2]
# DyScCd6, relaxed, DFT PBE
# - Total moment: 0.0 μB per formula unit
# - ΔH_f (0 K): -0.24 eV/atom
data_DyScCd6
_cell_length_a 4.825
_cell_length_b 7.112
_cell_length_c 10.651
_cell_angle_alpha 90.00
_cell_angle_beta 90.00
_cell_angle_gamma 90.00
_space_group_name_H-M_alt 'P 1'
_space_group_IT_number 1
loop_
_space_group_symop_operation_xyz
'x,y,z'
loop_
_atom_site_label
_atom_site_type_symbol
_atom_site_fract_x
_atom_site_fract_y
_atom_site_fract_z
_atom_site_occupancy
Dy1 Dy 0.000 0.000 0.000 1
Dy2 Dy 0.000 0.500 0.500 1
Sc1 Sc 0.500 0.000 0.736 1
Sc2 Sc 0.500 0.500 0.236 1
Cd1 Cd 0.000 0.000 0.549 1
Cd2 Cd 0.000 0.221 0.271 1
Cd3 Cd 0.000 0.279 0.771 1
Cd4 Cd 0.000 0.500 0.049 1
Cd5 Cd 0.000 0.721 0.771 1
Cd6 Cd 0.000 0.779 0.271 1
Cd7 Cd 0.500 0.000 0.194 1
Cd8 Cd 0.500 0.217 0.463 1
Cd9 Cd 0.500 0.283 0.963 1
Cd10 Cd 0.500 0.500 0.694 1
Cd11 Cd 0.500 0.717 0.963 1
Cd12 Cd 0.500 0.783 0.463 1

[3]
# DySc7Cd4, relaxed, DFT PBE
# - Total moment: 0.0 μB per formula unit
# - ΔH_f (0 K): 0.04 eV/atom
data_DySc7Cd4
_cell_length_a 7.486
_cell_length_b 7.486
_cell_length_c 9.166
_cell_angle_alpha 119.45
_cell_angle_beta 119.45
_cell_angle_gamma 41.73
_space_group_name_H-M_alt 'P 1'
_space_group_IT_number 1
loop_
_space_group_symop_operation_xyz
'x,y,z'
loop_
_atom_site_label
_atom_site_type_symbol
_atom_site_fract_x
_atom_site_fract_y
_atom_site_fract_z
_atom_site_occupancy
Dy1 Dy 0.000 0.000 0.000 1
Sc1 Sc 0.073 0.073 0.422 1
Sc2 Sc 0.211 0.211 0.883 1
Sc3 Sc 0.258 0.258 0.302 1
Sc4 Sc 0.500 0.500 0.000 1
Sc5 Sc 0.742 0.742 0.698 1
Sc6 Sc 0.789 0.789 0.117 1
Sc7 Sc 0.927 0.927 0.578 1
Cd1 Cd 0.319 0.319 0.659 1
Cd2 Cd 0.454 0.454 0.287 1
Cd3 Cd 0.546 0.546 0.713 1
Cd4 Cd 0.681 0.681 0.341 1